# 1
# TlZnBiTe3

Crystalline TlZnBiTe3 at its relaxed geometry (PBE-GGA, the Open Quantum Materials Database).

The value obtained for the total energy is -3.17 eV/atom.

The structure belongs to space group Cmcm (No. 63); the cell edges are 4.467, 15.195 and 11.806 Å and the angles 90.00°, 90.00° and 90.00°. The distinct sites, in fractional coordinates, are Tl at (0.000, 0.248, 0.250), Zn at (0.000, 0.458, 0.750), Bi at (0.000, 0.000, 0.000), Te at (0.000, 0.070, 0.750) and Te at (0.000, 0.361, 0.561).



# 2
# Li4NiGe2Pt

Crystalline Li4NiGe2Pt at its relaxed geometry (PBE-GGA, the Open Quantum Materials Database).

The value obtained for the total energy is -4.07 eV/atom.

The structure belongs to space group P-4m2 (No. 115); the cell edges are 4.186, 4.186 and 5.932 Å and the angles 90.00°, 90.00° and 90.00°. The distinct sites, in fractional coordinates, are Li at (0.000, 0.000, 0.000), Li at (0.000, 0.500, 0.743), Li at (0.500, 0.500, 0.500), Ni at (0.000, 0.000, 0.500), Ge at (0.000, 0.500, 0.267) and Pt at (0.500, 0.500, 0.000).



# 3
# GdNbNO

Crystalline GdNbNO at its relaxed geometry (PBE-GGA, the Open Quantum Materials Database).

The value obtained for the total energy is -8.72 eV/atom.

The structure belongs to space group Pbcm (No. 57); the cell edges are 7.677, 6.598 and 4.598 Å and the angles 90.00°, 90.00° and 90.00°. The distinct sites, in fractional coordinates, are Gd at (0.132, 0.051, 0.250), Nb at (0.372, 0.609, 0.250), N at (0.411, 0.583, 0.750) and O at (0.150, 0.097, 0.750).